[1]
GaPOsS2: PBEsol geometry, meta-GGA SCAN.

Structure (POSCAR):
```
GaPOsS2
1.0
-0.329 3.535 -2.716
-1.353 -2.829 -3.518
-4.501 0.563 1.278
S Ga P Os
2 1 1 1
direct
0.000 0.500 0.000 S
0.000 0.000 0.500 S
0.500 0.500 0.500 Ga
0.500 0.000 0.000 P
0.000 0.000 0.000 Os
```

Calculated values
formation energy from raw total energies	0.580	eV per atom
SG	P4/mmm
N(E_F)	5.1	states/eV per cell

***

[2]
SiAg2B: PBEsol geometry, meta-GGA SCAN.

Structure (POSCAR):
```
SiAg2B
1.0
-2.020 1.780 -2.734
-3.013 0.216 2.366
5.149 6.139 2.885
Si Ag B
2 4 2
direct
0.250 0.750 0.500 Si
0.000 0.000 0.000 Si
0.390 0.875 0.250 Ag
0.125 0.140 0.750 Ag
0.625 0.610 0.750 Ag
0.860 0.375 0.250 Ag
0.500 0.500 0.000 B
0.750 0.250 0.500 B
```

Calculated values
formation energy from raw total energies	0.885	eV per atom
SG	I-42d
N(E_F)	2.3	states/eV per cell

***

[3]
Li3IrW: PBEsol geometry, meta-GGA SCAN.

Structure (POSCAR):
```
Li3IrW
1.0
-3.429 -2.106 -1.967
-0.874 -2.153 3.829
-2.746 3.315 1.238
Ir Li W
1 3 1
direct
0.500 0.500 0.500 Ir
0.000 0.500 0.000 Li
0.000 0.000 0.500 Li
0.500 0.000 0.000 Li
0.000 0.000 0.000 W
```

Calculated values
SG	Pm-3m
energy	-27.39	eV per atom
N(E_F)	2.4	states/eV per cell

***

[4]
YFeRu: PBEsol geometry, meta-GGA SCAN.

Structure (POSCAR):
```
YFeRu
1.0
-1.748 -0.325 -3.452
-1.997 -0.680 3.259
-1.094 4.043 0.173
Ru Y Fe
1 1 1
direct
0.667 0.333 0.000 Ru
0.333 0.667 0.500 Y
0.000 0.000 0.000 Fe
```

Calculated values
SG	P-6m2
energy	-26.95	eV per atom
N(E_F)	2.0	states/eV per cell

***

[5]
CaMgAu2: PBEsol geometry, meta-GGA SCAN.

Structure (POSCAR):
```
CaMgAu2
1.0
-2.590 -1.945 -1.705
2.227 -3.718 0.859
-1.342 0.455 5.450
Au Ca Mg
2 1 1
direct
0.208 0.500 0.417 Au
0.045 0.000 0.089 Au
0.478 0.500 0.956 Ca
0.769 0.000 0.538 Mg
```

Calculated values
SG	Amm2
energy	-39.05	eV per atom
N(E_F)	1.4	states/eV per cell

***

[6]
Ag6Te4W3O20: PBEsol geometry, meta-GGA SCAN.

Structure (POSCAR):
```
Ag6Te4W3O20
1.0
-2.944 -3.382 -4.915
8.436 -2.478 -3.347
0.905 -10.291 11.043
Ag O Te W
12 40 8 6
direct
0.497 0.029 0.601 Ag
0.453 0.696 0.211 Ag
0.431 0.403 0.055 Ag
0.624 0.903 0.055 Ag
0.242 0.804 0.789 Ag
0.758 0.196 0.211 Ag
0.104 0.529 0.601 Ag
0.503 0.971 0.399 Ag
0.569 0.597 0.945 Ag
0.376 0.097 0.945 Ag
0.896 0.471 0.399 Ag
0.547 0.304 0.789 Ag
0.228 0.148 0.058 O
0.214 0.844 0.296 O
0.193 0.850 0.932 O
0.918 0.656 0.704 O
0.857 0.055 0.538 O
0.650 0.328 0.421 O
0.772 0.852 0.942 O
0.081 0.671 0.410 O
0.954 0.610 0.905 O
0.415 0.529 0.313 O
0.261 0.650 0.068 O
0.585 0.471 0.687 O
0.522 0.055 0.834 O
0.319 0.445 0.462 O
0.898 0.029 0.313 O
0.805 0.742 0.244 O
0.229 0.172 0.579 O
0.681 0.555 0.538 O
0.329 0.171 0.410 O
0.143 0.945 0.462 O
0.046 0.390 0.095 O
0.830 0.648 0.058 O
0.082 0.344 0.296 O
0.671 0.829 0.590 O
0.350 0.672 0.579 O
0.195 0.258 0.756 O
0.688 0.445 0.166 O
0.562 0.758 0.756 O
0.170 0.352 0.942 O
0.786 0.156 0.704 O
0.739 0.350 0.932 O
0.478 0.945 0.166 O
0.807 0.150 0.068 O
0.438 0.242 0.244 O
0.312 0.555 0.834 O
0.952 0.110 0.905 O
0.771 0.828 0.421 O
0.102 0.971 0.687 O
0.048 0.890 0.095 O
0.919 0.329 0.590 O
0.065 0.463 0.837 Te
0.228 0.037 0.163 Te
0.072 0.147 0.453 Te
0.935 0.537 0.163 Te
0.928 0.853 0.547 Te
0.381 0.647 0.453 Te
0.619 0.353 0.547 Te
0.772 0.963 0.837 Te
0.972 0.843 0.332 W
0.061 0.750 0.000 W
0.028 0.157 0.668 W
0.939 0.250 0.000 W
0.360 0.343 0.332 W
0.640 0.657 0.668 W
```

Calculated values
formation energy from raw total energies	-1.272	eV per atom
SG	C2/c
N(E_F)	0.0	states/eV per cell

***

[7]
GaSiIN2: PBEsol geometry, meta-GGA SCAN.

Structure (POSCAR):
```
GaSiIN2
1.0
-0.979 -0.880 -3.438
3.546 -0.086 -0.988
0.247 -5.645 1.375
Si Ga I N
1 1 1 2
direct
0.000 0.000 0.000 Si
0.500 0.500 0.500 Ga
0.000 0.000 0.500 I
0.500 0.000 0.000 N
0.000 0.500 0.000 N
```

Calculated values
formation energy from raw total energies	0.841	eV per atom
SG	P4/mmm
N(E_F)	1.6	states/eV per cell

***

[8]
ZrTcSe: PBEsol geometry, meta-GGA SCAN.

Structure (POSCAR):
```
ZrTcSe
1.0
-3.518 -1.789 -1.682
-1.611 -3.588 1.714
-3.709 0.128 2.151
Tc Zr Se
1 1 1
direct
0.250 0.250 0.250 Tc
0.000 0.000 0.000 Zr
0.500 0.500 0.500 Se
```

Calculated values
formation energy from raw total energies	-0.251	eV per atom
SG	F-43m
E above lowest polymorph	0.000	eV/atom
N(E_F)	3.6	states/eV per cell

***

[9]
ScFe2Cu: PBEsol geometry, meta-GGA SCAN.

Structure (POSCAR):
```
ScFe2Cu
1.0
2.612 -0.001 0.000
-0.569 4.669 0.000
-1.021 -2.334 4.225
Fe Cu Sc
2 1 1
direct
0.500 0.500 0.500 Fe
0.000 0.000 0.500 Fe
0.000 0.500 0.000 Cu
0.500 0.000 0.000 Sc
```

Calculated values
SG	C2/m
energy	-16.24	eV per atom
N(E_F)	3.2	states/eV per cell

***

[10]
BeCr2Au: PBEsol geometry, meta-GGA SCAN.

Structure (POSCAR):
```
BeCr2Au
1.0
-0.410 2.659 1.821
-4.020 -0.283 -0.491
-0.243 -2.316 3.326
Be Au Cr
1 1 2
direct
0.500 0.000 0.000 Be
0.500 0.500 0.500 Au
0.000 0.500 0.000 Cr
0.000 0.000 0.500 Cr
```

Calculated values
SG	P4/mmm
energy	-27.45	eV per atom
N(E_F)	2.8	states/eV per cell

***

[11]
LiMg3: PBEsol geometry, meta-GGA SCAN.

Structure (POSCAR):
```
LiMg3
1.0
3.220 0.000 0.000
0.000 5.003 0.000
0.000 0.000 5.276
Li Mg
1 3
direct
0.000 0.000 0.988 Li
0.000 0.500 0.342 Mg
0.500 0.500 0.849 Mg
0.500 0.000 0.488 Mg
```

Calculated values
SG	Pmm2
energy	-4.36	eV per atom
N(E_F)	1.5	states/eV per cell

***

[12]
SrScCr2: PBEsol geometry, meta-GGA SCAN.

Structure (POSCAR):
```
SrScCr2
1.0
3.411 0.000 0.000
0.000 5.107 0.000
0.000 0.000 5.107
Cr Sc Sr
2 1 1
direct
0.000 0.500 0.000 Cr
0.000 0.000 0.500 Cr
0.500 0.500 0.500 Sc
0.500 0.000 0.000 Sr
```

Calculated values
SG	P4/mmm
E above lowest polymorph	0.000	eV/atom
N(E_F)	3.5	states/eV per cell

***

[13]
NaAsOsSe2: PBEsol geometry, meta-GGA SCAN.

Structure (POSCAR):
```
NaAsOsSe2
1.0
-1.007 -2.465 3.779
3.781 -2.765 -0.796
2.685 2.917 2.618
As Os Se Na
1 1 2 1
direct
0.500 0.000 0.000 As
0.500 0.500 0.500 Os
0.000 0.000 0.500 Se
0.000 0.500 0.000 Se
0.000 0.000 0.000 Na
```

Calculated values
formation energy from raw total energies	1.883	eV per atom
SG	P4/mmm
N(E_F)	3.5	states/eV per cell

***

[14]
InCo22B6: PBEsol geometry, meta-GGA SCAN.

Structure (POSCAR):
```
InCo22B6
1.0
-0.766 -5.654 4.593
2.239 -6.678 -2.008
5.900 -2.985 3.150
Co B In
22 6 1
direct
0.620 0.620 0.620 Co
0.654 0.346 0.000 Co
0.000 0.654 0.346 Co
0.750 0.750 0.750 Co
0.346 0.000 0.654 Co
0.000 0.000 0.654 Co
0.859 0.380 0.380 Co
0.000 0.346 0.000 Co
0.620 0.141 0.620 Co
0.654 0.000 0.346 Co
0.141 0.620 0.620 Co
0.000 0.000 0.346 Co
0.000 0.654 0.000 Co
0.620 0.620 0.141 Co
0.380 0.380 0.859 Co
0.346 0.654 0.000 Co
0.380 0.859 0.380 Co
0.000 0.346 0.654 Co
0.380 0.380 0.380 Co
0.654 0.000 0.000 Co
0.346 0.000 0.000 Co
0.250 0.250 0.250 Co
0.278 0.722 0.722 B
0.722 0.722 0.278 B
0.278 0.278 0.722 B
0.278 0.722 0.278 B
0.722 0.278 0.278 B
0.722 0.278 0.722 B
0.000 0.000 0.000 In
```

Calculated values
SG	Fm-3m
energy	-15.86	eV per atom
N(E_F)	20.1	states/eV per cell

***

[15]
BaMgSi2: PBEsol geometry, meta-GGA SCAN.

Structure (POSCAR):
```
BaMgSi2
1.0
-2.553 1.961 -2.292
-3.673 0.697 1.280
0.335 7.743 2.844
Si Ba Mg
2 1 1
direct
0.720 0.720 0.840 Si
0.021 0.021 0.937 Si
0.481 0.481 0.556 Ba
0.278 0.278 0.167 Mg
```

Calculated values
formation energy from raw total energies	0.019	eV per atom
SG	R3m
N(E_F)	0.9	states/eV per cell

***

[16]
LiCl2: PBEsol geometry, meta-GGA SCAN.

Structure (POSCAR):
```
LiCl2
1.0
4.350 0.000 0.000
2.175 3.767 0.000
2.175 1.256 3.552
Cl Li
2 1
direct
0.250 0.250 0.250 Cl
0.750 0.750 0.750 Cl
0.000 0.000 0.000 Li
```

Calculated values
formation energy from raw total energies	-0.941	eV per atom
SG	Fm-3m
E above lowest polymorph	0.309	eV/atom
N(E_F)	2.4	states/eV per cell

***

[17]
CaMg: PBEsol geometry, meta-GGA SCAN.

Structure (POSCAR):
```
CaMg
1.0
-2.374 1.680 2.183
-3.630 0.708 -4.491
0.029 -6.169 1.750
Ca Mg
2 2
direct
0.606 0.826 0.211 Ca
0.394 0.174 0.789 Ca
0.147 0.354 0.293 Mg
0.853 0.646 0.707 Mg
```

Calculated values
SG	C2/m
energy	-7.37	eV per atom
N(E_F)	2.6	states/eV per cell

***

[18]
La2BeP: PBEsol geometry, meta-GGA SCAN.

Structure (POSCAR):
```
La2BeP
1.0
-2.526 1.179 4.059
1.466 -1.685 4.388
1.947 3.093 3.299
La Be P
2 1 1
direct
0.000 0.000 0.000 La
0.750 0.750 0.750 La
0.500 0.500 0.500 Be
0.250 0.250 0.250 P
```

Calculated values
SG	F-43m
E above lowest polymorph	0.446	eV/atom
N(E_F)	3.7	states/eV per cell

***

[19]
MgCu2Se2: PBEsol geometry, meta-GGA SCAN.

Structure (POSCAR):
```
MgCu2Se2
1.0
3.901 0.000 0.000
-1.950 3.378 0.000
0.000 0.000 6.551
Mg Cu Se
1 2 2
direct
0.000 0.000 0.000 Mg
0.667 0.333 0.601 Cu
0.333 0.667 0.399 Cu
0.667 0.333 0.233 Se
0.333 0.667 0.767 Se
```

Calculated values
formation energy from raw total energies	-0.572	eV per atom
SG	P-3m1
E above lowest polymorph	0.000	eV/atom

***

[20]
RbSnSeBr2: PBEsol geometry, meta-GGA SCAN.

Structure (POSCAR):
```
RbSnSeBr2
1.0
-5.058 -1.315 0.154
0.878 -3.852 -4.056
1.134 -3.898 3.947
Se Br Sn Rb
1 2 1 1
direct
0.500 0.000 0.000 Se
0.000 0.500 0.000 Br
0.000 0.000 0.500 Br
0.000 0.000 0.000 Sn
0.500 0.500 0.500 Rb
```

Calculated values
formation energy from raw total energies	-0.961	eV per atom
SG	P4/mmm
E above lowest polymorph	0.000	eV/atom
N(E_F)	0.7	states/eV per cell

***

[21]
Cd22Ag: PBEsol geometry, meta-GGA SCAN.

Structure (POSCAR):
```
Cd22Ag
1.0
-3.519 -0.667 10.545
-2.650 -9.895 4.370
6.530 -4.585 7.770
Cd Ag
44 2
direct
0.625 0.625 0.125 Cd
0.442 0.442 0.184 Cd
0.066 0.808 0.808 Cd
0.442 0.442 0.933 Cd
0.125 0.625 0.125 Cd
0.808 0.808 0.066 Cd
0.607 0.893 0.893 Cd
0.625 0.125 0.625 Cd
0.357 0.643 0.643 Cd
0.066 0.808 0.317 Cd
0.625 0.625 0.625 Cd
0.125 0.125 0.125 Cd
0.625 0.125 0.125 Cd
0.893 0.607 0.607 Cd
0.933 0.442 0.184 Cd
0.933 0.184 0.442 Cd
0.184 0.442 0.442 Cd
0.607 0.607 0.893 Cd
0.184 0.442 0.933 Cd
0.893 0.893 0.607 Cd
0.357 0.643 0.357 Cd
0.607 0.893 0.607 Cd
0.317 0.808 0.066 Cd
0.893 0.607 0.893 Cd
0.933 0.442 0.442 Cd
0.125 0.625 0.625 Cd
0.442 0.184 0.442 Cd
0.808 0.066 0.808 Cd
0.808 0.317 0.066 Cd
0.442 0.933 0.442 Cd
0.184 0.933 0.442 Cd
0.317 0.808 0.808 Cd
0.066 0.317 0.808 Cd
0.357 0.357 0.643 Cd
0.125 0.125 0.625 Cd
0.442 0.933 0.184 Cd
0.808 0.808 0.317 Cd
0.808 0.317 0.808 Cd
0.643 0.357 0.643 Cd
0.442 0.184 0.933 Cd
0.808 0.066 0.317 Cd
0.317 0.066 0.808 Cd
0.643 0.643 0.357 Cd
0.643 0.357 0.357 Cd
0.250 0.250 0.250 Ag
0.000 0.000 0.000 Ag
```

Calculated values
SG	Fd-3m
energy	-30.37	eV per atom
N(E_F)	13.0	states/eV per cell

***

[22]
AgPbSe2: PBEsol geometry, meta-GGA SCAN.

Structure (POSCAR):
```
AgPbSe2
1.0
-1.741 0.188 -2.525
-2.053 -1.182 1.957
-2.719 8.924 2.540
Ag Se Pb
1 2 1
direct
0.000 0.000 0.512 Ag
0.000 0.000 0.015 Se
0.500 0.500 0.703 Se
0.500 0.500 0.271 Pb
```

Calculated values
formation energy from raw total energies	0.288	eV per atom
SG	Cmm2
N(E_F)	1.5	states/eV per cell